No. 1
Here is crystalline La3Th at its relaxed geometry from the Alexandria database. Energies are from PBE-GGA.

Lattice parameters (Å, degrees): 5.167 5.167 5.167 90.00 90.00 90.00
Space group Pm-3m (No. 221)
Asymmetric unit:
La  0.000  0.000  0.500 (multiplicity 3)
Th  0.500  0.500  0.500 (multiplicity 1)

Computed properties:
The calculation puts the distance to the lowest polymorph of the same formula at 0.000 eV per atom. The magnetic moment is 0.0 μB/f.u. The formation energy comes out at 17 kJ/mol of formula units. The value obtained for the electronic total energy is -5.506 eV per atom. The crystal system is cubic.


No. 2
Here is crystalline LaAlSi2 at its relaxed geometry from the Alexandria database. Energies are from PBE-GGA.

Lattice parameters (Å, degrees): 4.006 5.625 8.212 90.00 90.00 90.00
Space group Amm2 (No. 38)
Asymmetric unit:
La  0.000  0.000  0.000 (multiplicity 2)
Al  0.500  0.000  0.547 (multiplicity 2)
Si  0.500  0.209  0.272 (multiplicity 4)

Computed properties:
The uncorrected formation energy is -0.24 eV/atom. The magnetic moment is 0.0 μB/f.u. The value obtained for the electronic total energy is -5.122 eV per atom. The crystal system is orthorhombic.


No. 3
Here is crystalline Ce6In2Pb at its relaxed geometry from the Alexandria database. Energies are from PBE-GGA.

Lattice parameters (Å, degrees): 3.779 8.155 8.639 69.74 89.23 80.19
Space group P-1 (No. 2)
Asymmetric unit:
Ce  0.006  0.404  0.339 (multiplicity 2)
Ce  0.102  0.151  0.014 (multiplicity 2)
Ce  0.223  0.886  0.688 (multiplicity 2)
In  0.407  0.769  0.327 (multiplicity 2)
Pb  0.500  0.500  0.000 (multiplicity 1)

Computed properties:
The calculation puts the distance to the lowest polymorph of the same formula at 0.000 eV per atom. The magnetic moment is 3.0 μB/f.u. The formation energy comes out at -242 kJ/mol of formula units. The value obtained for the electronic total energy is -5.255 eV per atom. The crystal system is triclinic.


No. 4
Here is crystalline CuBS3 at its relaxed geometry from the Alexandria database. Energies are from PBE-GGA.

Lattice parameters (Å, degrees): 4.142 4.142 4.142 90.00 90.00 90.00
Space group Pm-3m (No. 221)
Asymmetric unit:
Cu  0.000  0.000  0.000 (multiplicity 1)
B  0.500  0.500  0.500 (multiplicity 1)
S  0.000  0.500  0.500 (multiplicity 3)

Computed properties:
The calculation puts the distance to the lowest polymorph of the same formula at 1.008 eV per atom. The uncorrected formation energy is 0.87 eV/atom. The magnetic moment is 0.0 μB/f.u. The value obtained for the electronic total energy is -3.762 eV per atom. The crystal system is cubic.


- Which formula does entry 3 have?
  Ce6In2Pb